No. 1
First-principles (PBE-GGA) data for crystalline K2TcMo at its relaxed geometry, as listed in Alexandria via LeMat-Bulk.

a = 12.345 Å, b = 12.345 Å, c = 12.345 Å
α = 13.25°, β = 13.25°, γ = 13.25°
Each line ends with the local moment (μB).
Fractional positions:
1 K 0.002 0.002 0.002  0.00
2 K 0.498 0.498 0.498  0.00
3 Mo 0.250 0.250 0.250  0.16
4 Tc 0.750 0.750 0.750  0.79

uncorrected energy = -4.359 eV per atom
relative energy among the computed polymorphs = 0.7070 eV/atom
calculated formation energy = 1.49 eV/atom
N(E_F) = 0.7237 states/eV per atom

=====

No. 2
First-principles (PBE-GGA) data for crystalline CsKPtO2 at its relaxed geometry, as listed in Alexandria via LeMat-Bulk.

a = 5.659 Å, b = 6.227 Å, c = 6.829 Å
α = 90.00°, β = 90.00°, γ = 90.00°
Fractional positions:
1 Cs 0.217 0.250 0.500
2 Cs 0.783 0.750 0.500
3 K 0.492 0.750 0.000
4 K 0.508 0.250 0.000
5 Pt 0.000 0.000 0.000
6 Pt 0.000 0.500 0.000
7 O 0.907 0.250 0.811
8 O 0.907 0.250 0.189
9 O 0.093 0.750 0.811
10 O 0.093 0.750 0.189

E_form (uncorrected) = -0.893 eV per atom
uncorrected energy = -4.475 eV per atom

=====

No. 3
First-principles (PBE-GGA) data for crystalline Ag2Ru at its relaxed geometry, as listed in Alexandria via LeMat-Bulk.

a = 7.998 Å, b = 7.998 Å, c = 4.509 Å
α = 90.00°, β = 90.00°, γ = 160.06°
Fractional positions:
1 Ag 0.884 0.116 0.750
2 Ag 0.116 0.884 0.250
3 Ag 0.444 0.556 0.250
4 Ag 0.556 0.444 0.750
5 Ru 0.227 0.773 0.750
6 Ru 0.773 0.227 0.250

uncorrected energy = -4.629 eV per atom
relative energy among the computed polymorphs = 0.0095 eV/atom
calculated formation energy = 0.36 eV/atom
N(E_F) = 0.7253 states/eV per atom

=====

No. 4
First-principles (PBE-GGA) data for crystalline Al3TcSe at its relaxed geometry, as listed in Alexandria via LeMat-Bulk.

a = 4.770 Å, b = 4.770 Å, c = 4.770 Å
α = 90.00°, β = 90.00°, γ = 90.00°
Each line ends with the local moment (μB).
Fractional positions:
1 Tc 0.500 0.500 0.500  2.24
2 Se 0.000 0.000 0.000  -0.08
3 Al 0.000 0.500 0.000  -0.02
4 Al 0.000 0.000 0.500  0.00
5 Al 0.500 0.000 0.000  -0.05

E_form (uncorrected) = 1.123 eV per atom
uncorrected energy = -3.893 eV per atom
relative energy among the computed polymorphs = 0.7303 eV/atom
N(E_F) = 0.4610 states/eV per atom

=====

No. 5
First-principles (PBE-GGA) data for crystalline Pr2NiRu at its relaxed geometry, as listed in Alexandria via LeMat-Bulk.

a = 3.503 Å, b = 3.503 Å, c = 7.195 Å
α = 90.00°, β = 90.00°, γ = 90.00°
Fractional positions:
1 Pr 0.000 0.000 0.751
2 Pr 0.000 0.000 0.249
3 Ru 0.500 0.500 0.000
4 Ni 0.500 0.500 0.500

uncorrected energy = -6.306 eV per atom
calculated formation energy = -0.15 eV/atom
N(E_F) = 0.3026 states/eV per atom

=====

Copy entry 4 word for word.
First-principles (PBE-GGA) data for crystalline Al3TcSe at its relaxed geometry, as listed in Alexandria via LeMat-Bulk.

a = 4.770 Å, b = 4.770 Å, c = 4.770 Å
α = 90.00°, β = 90.00°, γ = 90.00°
Each line ends with the local moment (μB).
Fractional positions:
1 Tc 0.500 0.500 0.500  2.24
2 Se 0.000 0.000 0.000  -0.08
3 Al 0.000 0.500 0.000  -0.02
4 Al 0.000 0.000 0.500  0.00
5 Al 0.500 0.000 0.000  -0.05

E_form (uncorrected) = 1.123 eV per atom
uncorrected energy = -3.893 eV per atom
relative energy among the computed polymorphs = 0.7303 eV/atom
N(E_F) = 0.4610 states/eV per atom